1.
TlRuW2 | Alexandria | PBE-GGA | relaxed; V = 67 Å³ per cell; DFT formation energy = 711.4 meV per atom; D(E_F) = 0.77 states/eV/atom; total DFT energy (no corrections) = -8.676 eV/atom; SG = I-4m2 (119); M_tot = 0.0 μB/cell; relative energy among the computed polymorphs = 0.2231 eV per atom
1.0
-2.051 2.051 4.001
2.051 -2.051 4.001
2.051 2.051 -4.001
Tl Ru W
1 1 2
Cartesian
0.000 0.000 0.000
0.000 2.051 2.000
2.051 0.000 2.000
0.000 0.000 4.001

***

2.
Mg2BePb | Alexandria | PBE-GGA | relaxed; V = 84 Å³ per cell; DFT formation energy = 253.3 meV per atom; D(E_F) = 0.24 states/eV/atom; total DFT energy (no corrections) = -2.403 eV/atom; SG = Pm (6); M_tot = 0.0 μB/cell; relative energy among the computed polymorphs = 0.1268 eV per atom
1.0
3.497 0.000 0.000
0.000 4.226 0.000
-1.643 0.000 5.680
Mg Be Pb
2 1 1
Cartesian
0.000 0.000 0.000
0.070 2.113 3.962
1.834 0.000 3.062
1.773 2.113 1.437

***

3.
PmTm2UN4 | Alexandria | PBE-GGA | relaxed; V = 117 Å³ per cell; D(E_F) = 0.52 states/eV/atom; total DFT energy (no corrections) = -8.871 eV/atom; SG = P2/m (10); M_tot = 1.5 μB/cell
1.0
5.970 0.000 0.000
0.000 3.455 0.000
-1.957 0.000 5.680
Pm Tm U N
1 2 1 4
Cartesian
0.000 0.000 0.000
2.006 0.000 2.840
2.985 1.728 0.000
-0.979 1.728 2.840
0.952 1.728 1.557
0.057 0.000 4.197
3.956 0.000 1.482
3.060 1.728 4.122

***

4.
SmC2O6 | Alexandria | PBE-GGA | relaxed; V = 225 Å³ per cell; D(E_F) = 0.64 states/eV/atom; total DFT energy (no corrections) = -7.741 eV/atom; SG = I-42d (122); M_tot = 2.0 μB/cell
1.0
-4.004 4.004 3.510
4.004 -4.004 3.510
4.004 4.004 -3.510
Sm C O
2 4 12
Cartesian
0.000 0.000 0.000
0.000 4.004 1.755
2.002 2.521 -0.877
5.488 2.002 0.877
2.002 1.484 2.632
-1.484 2.002 4.387
2.002 1.219 -0.877
2.832 3.154 -1.613
4.855 1.173 0.142
1.173 3.154 -0.142
2.785 -2.002 4.387
1.173 0.850 1.897
4.855 2.832 1.613
2.832 0.850 3.368
2.002 2.785 2.632
-0.850 2.832 3.652
1.219 6.007 0.877
-0.850 1.173 5.122

***

5.
Th3Sn2 | Alexandria | PBE-GGA | relaxed; V = 314 Å³ per cell; DFT formation energy = -349.1 meV per atom; D(E_F) = 0.95 states/eV/atom; total DFT energy (no corrections) = -6.402 eV/atom; SG = I4_1/amd (141); M_tot = 0.0 μB/cell
1.0
-3.126 3.126 8.043
3.126 -3.126 8.043
3.126 3.126 -8.043
Th Sn
6 4
Cartesian
0.000 0.000 0.000
1.563 1.563 -4.021
1.563 -1.563 4.021
3.126 1.563 2.011
0.000 3.126 0.000
0.000 1.563 6.032
3.126 1.563 -1.149
0.000 1.563 2.872
3.126 1.563 5.170
0.000 1.563 9.192

***

6.
ScB | Alexandria | PBE-GGA | relaxed; V = 164 Å³ per cell; DFT formation energy = 120.5 meV per atom; D(E_F) = 0.91 states/eV/atom; total DFT energy (no corrections) = -6.384 eV/atom; SG = I-43m (217); M_tot = 0.0 μB/cell
1.0
-3.449 3.449 3.449
3.449 -3.449 3.449
3.449 3.449 -3.449
Sc B
4 4
Cartesian
1.444 1.444 -1.444
1.444 -1.444 1.444
-1.444 1.444 1.444
2.005 2.005 2.005
2.840 2.840 -2.840
2.840 -2.840 2.840
0.608 0.608 0.608
-2.840 2.840 2.840

***

7.
Ti3GaPd6 | Alexandria | PBE-GGA | relaxed; V = 308 Å³ per cell; DFT formation energy = -600.1 meV per atom; D(E_F) = 0.77 states/eV/atom; total DFT energy (no corrections) = -6.387 eV/atom; SG = P2_1/m (11); M_tot = 1.6 μB/cell; relative energy among the computed polymorphs = 0.0000 eV per atom
1.0
7.406 0.000 0.000
0.000 4.608 0.000
-3.420 0.000 9.036
Ti Ga Pd
6 2 12
Cartesian
-0.184 1.152 1.949
2.133 1.152 0.174
1.268 3.456 3.384
2.718 1.152 5.652
1.853 3.456 8.862
4.170 3.456 7.087
-0.988 3.456 5.244
4.974 1.152 3.792
-1.895 1.152 6.439
0.500 3.456 0.678
0.241 1.152 4.655
-0.747 3.456 7.824
2.464 1.152 2.965
0.826 1.152 7.531
3.160 3.456 1.505
1.522 3.456 6.071
4.733 1.152 1.213
3.745 3.456 4.381
3.486 1.152 8.358
5.881 3.456 2.597

***

8.
U2CuC | Alexandria | PBE-GGA | relaxed; V = 71 Å³ per cell; DFT formation energy = 344.4 meV per atom; D(E_F) = 2.15 states/eV/atom; total DFT energy (no corrections) = -8.630 eV/atom; SG = R-3m (166); M_tot = 1.1 μB/cell
1.0
1.520 0.878 8.825
-1.520 0.878 8.825
0.000 -1.755 8.825
U Cu C
2 1 1
Cartesian
0.000 0.000 2.883
0.000 0.000 23.591
0.000 0.000 0.000
0.000 0.000 13.237